(1)
Material: Pm2CdPt3
Method: DFT, PBE-GGA
State: relaxed

The structure in CIF format:
```
data_Pm2CdPt3
_chemical_formula_sum 'Pm16 Cd8 Pt24'
_symmetry_space_group_name_H-M 'F m m m'
_symmetry_Int_Tables_number 69
_symmetry_space_group_name_Hall '-F 2 2'
_cell_length_a 7.438
_cell_length_b 8.470
_cell_length_c 17.331
_cell_angle_alpha 90.00
_cell_angle_beta 90.00
_cell_angle_gamma 90.00
loop_
_atom_site_label
_atom_site_fract_x
_atom_site_fract_y
_atom_site_fract_z
Pm1 0.248 0.000 0.000
Pm2 0.250 0.250 0.250
Cd1 0.000 0.000 0.160
Pt1 0.000 0.000 0.317
Pt2 0.000 0.233 0.423
```

The formation energy from the elements comes out at -0.82 eV/atom. The value obtained for the total energy is -0.4100 Ry per atom. The calculation puts the energy above the most stable polymorph in this dataset at 105.0 meV/atom.

(2)
Material: Pm5CdPt2
Method: DFT, PBE-GGA
State: relaxed

The structure in CIF format:
```
data_Pm5CdPt2
_chemical_formula_sum 'Pm20 Cd4 Pt8'
_symmetry_space_group_name_H-M 'I 4/m c m'
_symmetry_Int_Tables_number 140
_symmetry_space_group_name_Hall '-I 4 2c'
_cell_length_a 8.101
_cell_length_b 8.101
_cell_length_c 13.598
_cell_angle_alpha 90.00
_cell_angle_beta 90.00
_cell_angle_gamma 90.00
loop_
_atom_site_label
_atom_site_fract_x
_atom_site_fract_y
_atom_site_fract_z
Pm1 0.000 0.000 0.000
Pm2 0.161 0.339 0.137
Cd1 0.000 0.000 0.250
Pt1 0.134 0.366 0.500
```

The formation energy from the elements comes out at -0.69 eV/atom. The value obtained for the total energy is -0.3883 Ry per atom.